A crystal of SmSi2Rh2 relaxed with PBEsol. Source: Alexandria via LeMat-Bulk, functional meta-GGA SCAN.

Calculated values
The energy relative to the elements, uncorrected comes out at -1232 meV per atom.

Unit cell a=4.035 b=4.035 c=10.004 alpha=90.00 beta=90.00 gamma=90.00
Atoms (fractional coordinates):
Sm 0.000 0.000 0.000
Sm 0.500 0.500 0.500
Si 0.000 0.000 0.377
Si 0.000 0.000 0.623
Si 0.500 0.500 0.123
Si 0.500 0.500 0.877
Rh 0.000 0.500 0.250
Rh 0.000 0.500 0.750
Rh 0.500 0.000 0.250
Rh 0.500 0.000 0.750

---

A crystal of Sr2BO relaxed with PBEsol. Source: Alexandria via LeMat-Bulk, functional meta-GGA SCAN.

Calculated values
The energy relative to the elements, uncorrected comes out at -744 meV per atom.

Unit cell a=6.749 b=6.749 c=8.253 alpha=90.00 beta=90.00 gamma=90.00
Atoms (fractional coordinates):
Sr 0.191 0.750 0.125
Sr 0.250 0.191 0.875
Sr 0.250 0.309 0.375
Sr 0.309 0.750 0.625
Sr 0.691 0.250 0.625
Sr 0.750 0.691 0.375
Sr 0.750 0.809 0.875
Sr 0.809 0.250 0.125
B 0.000 0.000 0.500
B 0.000 0.500 0.750
B 0.500 0.000 0.250
B 0.500 0.500 0.000
O 0.000 0.000 0.000
O 0.000 0.500 0.250
O 0.500 0.000 0.750
O 0.500 0.500 0.500

---

A crystal of CdNiRu2 relaxed with PBEsol. Source: Alexandria via LeMat-Bulk, functional meta-GGA SCAN.

Calculated values
The formation energy from the elements comes out at 409.2 meV per atom.

Unit cell a=4.603 b=2.697 c=4.746 alpha=90.00 beta=108.89 gamma=90.00
Atoms (fractional coordinates):
Cd 0.000 0.000 0.000
Ni 0.500 0.500 0.000
Ru 0.000 0.500 0.500
Ru 0.500 0.000 0.500

---

A crystal of CsOF3 relaxed with PBEsol. Source: Alexandria via LeMat-Bulk, functional meta-GGA SCAN.

Calculated values
The energy relative to the elements, uncorrected comes out at -1209 meV per atom.

Unit cell a=5.631 b=6.253 c=6.262 alpha=64.39 beta=89.39 gamma=87.51
Atoms (fractional coordinates):
Cs 0.000 0.000 0.000
Cs 0.491 0.401 0.283
O 0.541 0.806 0.603
O 0.698 0.656 0.666
F 0.005 0.197 0.366
F 0.030 0.912 0.560
F 0.494 0.892 0.851
F 0.504 0.900 0.272
F 0.585 0.379 0.783
F 0.987 0.494 0.150

---

A crystal of K2CrIF relaxed with PBEsol. Source: Alexandria via LeMat-Bulk, functional meta-GGA SCAN.

Calculated values
The energy relative to the elements, uncorrected comes out at -608 meV per atom.

Unit cell a=6.602 b=6.602 c=5.416 alpha=90.00 beta=90.00 gamma=90.00
Atoms (fractional coordinates):
K 0.000 0.500 0.000
K 0.500 0.000 0.000
Cr 0.000 0.000 0.500
I 0.000 0.000 0.000
F 0.500 0.500 0.500

---

A crystal of CaCdIn2 relaxed with PBEsol. Source: Alexandria via LeMat-Bulk, functional meta-GGA SCAN.

Calculated values
The formation energy from the elements comes out at -375.2 meV per atom.

Unit cell a=4.589 b=4.589 c=4.570 alpha=90.00 beta=90.00 gamma=90.00
Atoms (fractional coordinates):
Ca 0.000 0.000 0.000
Cd 0.500 0.500 0.000
In 0.000 0.500 0.500
In 0.500 0.000 0.500

---

A crystal of TlTc2Te relaxed with PBEsol. Source: Alexandria via LeMat-Bulk, functional meta-GGA SCAN.

Calculated values
The calculation puts the energy above the most stable polymorph in this dataset at 0.000 eV/atom. The energy relative to the elements, uncorrected comes out at 556 meV per atom.

Unit cell a=8.241 b=3.147 c=5.774 alpha=90.00 beta=102.16 gamma=90.00
Atoms (fractional coordinates):
Tl 0.000 0.000 0.000
Tl 0.500 0.500 0.000
Tc 0.248 0.000 0.710
Tc 0.252 0.500 0.290
Tc 0.748 0.500 0.710
Tc 0.752 0.000 0.290
Te 0.000 0.500 0.500
Te 0.500 0.000 0.500

---

A crystal of Co3SiH relaxed with PBEsol. Source: Alexandria via LeMat-Bulk, functional meta-GGA SCAN.

Calculated values
The calculation puts the energy above the most stable polymorph in this dataset at 0.030 eV/atom.

Unit cell a=3.484 b=3.484 c=3.484 alpha=90.00 beta=90.00 gamma=90.00
Atoms (fractional coordinates):
Co 0.000 0.000 0.500
Co 0.000 0.500 0.000
Co 0.500 0.000 0.000
Si 0.500 0.500 0.500
H 0.000 0.000 0.000

---

A crystal of NaBAs3 relaxed with PBEsol. Source: Alexandria via LeMat-Bulk, functional meta-GGA SCAN.

Calculated values
The formation energy from the elements comes out at 580.7 meV per atom.

Unit cell a=4.482 b=4.482 c=4.482 alpha=90.00 beta=90.00 gamma=90.00
Atoms (fractional coordinates):
Na 0.000 0.000 0.000
B 0.500 0.500 0.500
As 0.000 0.500 0.500
As 0.500 0.000 0.500
As 0.500 0.500 0.000

---

A crystal of KCo4Ir relaxed with PBEsol. Source: Alexandria via LeMat-Bulk, functional meta-GGA SCAN.

Calculated values
The formation energy from the elements comes out at 777.6 meV per atom.

Unit cell a=4.858 b=4.858 c=4.858 alpha=60.00 beta=60.00 gamma=60.00
Atoms (fractional coordinates):
K 0.000 0.000 0.000
Co 0.376 0.376 0.376
Co 0.376 0.376 0.873
Co 0.376 0.873 0.376
Co 0.873 0.376 0.376
Ir 0.750 0.750 0.750

---

A crystal of LiSnHg3 relaxed with PBEsol. Source: Alexandria via LeMat-Bulk, functional meta-GGA SCAN.

Calculated values
The formation energy from the elements comes out at 127.5 meV per atom.

Unit cell a=4.871 b=4.871 c=4.871 alpha=90.00 beta=90.00 gamma=90.00
Atoms (fractional coordinates):
Li 0.000 0.000 0.000
Sn 0.500 0.500 0.500
Hg 0.000 0.000 0.500
Hg 0.000 0.500 0.000
Hg 0.500 0.000 0.000

---

A crystal of La2InRh relaxed with PBEsol. Source: Alexandria via LeMat-Bulk, functional meta-GGA SCAN.

Calculated values
The formation energy from the elements comes out at -676.9 meV per atom.

Unit cell a=3.946 b=4.816 c=11.216 alpha=90.00 beta=90.00 gamma=90.00
Atoms (fractional coordinates):
La 0.000 0.000 0.000
La 0.000 0.500 0.500
La 0.500 0.000 0.303
La 0.500 0.500 0.803
In 0.500 0.000 0.600
In 0.500 0.500 0.100
Rh 0.000 0.000 0.773
Rh 0.000 0.500 0.273